Record 1
! ReSiTc2 PBE-GGA optimized geometry; values from VASP
&SYSTEM
  ibrav = 0, nat = 4, ntyp = 3
/
ATOMIC_SPECIES
Re 186.21 Re.upf
Si 28.09 Si.upf
Tc 98.00 Tc.upf
ATOMIC_POSITIONS angstrom
Re 0.000 0.000 0.000
Si 0.000 0.000 3.238
Tc 1.464 1.464 1.751
Tc 1.464 1.464 4.724
CELL_PARAMETERS angstrom
2.928 0.000 0.000
0.000 2.928 0.000
0.000 0.000 6.475
! Total DFT energy (no corrections), eV/atom: -9.889
! Space-group type: P4/mmm, No. 123
! DOS(E_F), states/eV/f.u.: 2.763
! V, Å³/atom: 13.88

***

Record 2
! ReSi2Tc PBE-GGA optimized geometry; values from VASP
&SYSTEM
  ibrav = 0, nat = 4, ntyp = 3
/
ATOMIC_SPECIES
Re 186.21 Re.upf
Si 28.09 Si.upf
Tc 98.00 Tc.upf
ATOMIC_POSITIONS angstrom
Re 0.000 0.000 0.000
Si 0.000 0.000 2.568
Si 1.558 1.558 1.150
Tc 1.558 1.558 3.705
CELL_PARAMETERS angstrom
3.116 0.000 0.000
0.000 3.116 0.000
0.000 0.000 5.578
! Total DFT energy (no corrections), eV/atom: -8.798
! Space-group type: P4mm, No. 99
! Polymorph energy (0 for the lowest one), meV/atom: 0
! DOS(E_F), states/eV/f.u.: 2.433
! V, Å³/atom: 13.54